[1]
! NaTcPt2, PBEsol geometry, DFT meta-GGA SCAN; values from VASP
! Fermi-level density of states in states/eV/atom: 0.842
! Raw total energy in eV per atom: -44.72
! ΔE_f in eV/atom: 0.20
! Space-group type: Fm-3m (225)
&SYSTEM
  ibrav = 0, nat = 4, ntyp = 3
/
ATOMIC_SPECIES
Tc 98.00 Tc.upf
Na 22.99 Na.upf
Pt 195.08 Pt.upf
ATOMIC_POSITIONS crystal
Tc 0.5000 0.5000 0.5000
Na 0.0000 0.0000 0.0000
Pt 0.2500 0.2500 0.2500
Pt 0.7500 0.7500 0.7500
CELL_PARAMETERS angstrom
-3.8592 -1.9698 -0.9472
-0.6901 -1.6992 -4.0382
-0.1676 -4.3969 -0.5568

[2]
! NaTePt3, PBEsol geometry, DFT meta-GGA SCAN; values from VASP
! Fermi-level density of states in states/eV/atom: 0.705
! Raw total energy in eV per atom: -50.03
! Space-group type: Pm-3m (221)
! Raw formation energy in meV per atom: 378
&SYSTEM
  ibrav = 0, nat = 5, ntyp = 3
/
ATOMIC_SPECIES
Pt 195.08 Pt.upf
Te 127.60 Te.upf
Na 22.99 Na.upf
ATOMIC_POSITIONS crystal
Pt 0.0000 0.0000 0.5000
Te 0.0000 0.0000 0.0000
Na 0.5000 0.5000 0.5000
Pt 0.0000 0.5000 0.0000
Pt 0.5000 0.0000 0.0000
CELL_PARAMETERS angstrom
-3.7356 0.7089 -3.1572
-3.2139 -1.3728 3.4945
-0.3757 4.6944 1.4986

[3]
! Na2PtW, PBEsol geometry, DFT meta-GGA SCAN; values from VASP
! Fermi-level density of states in states/eV/atom: 0.274
! Raw total energy in eV per atom: -35.79
! ΔE_f in eV/atom: 1.29
! Space-group type: Fm-3m (225)
&SYSTEM
  ibrav = 0, nat = 4, ntyp = 3
/
ATOMIC_SPECIES
Na 22.99 Na.upf
Pt 195.08 Pt.upf
W 183.84 W.upf
ATOMIC_POSITIONS crystal
Na 0.2500 0.2500 0.2500
Pt 0.5000 0.5000 0.5000
Na 0.7500 0.7500 0.7500
W 0.0000 0.0000 0.0000
CELL_PARAMETERS angstrom
4.7022 0.0000 0.0000
2.3511 4.0723 0.0000
2.3511 1.3574 3.8394

no.,theoretical density (Mg/m³)
1,13.76
2,10.12
3,9.60